Crystalline BaPrGeRh at its relaxed geometry. Source: Alexandria via LeMat-Bulk, functional GGA-PBE.

a b c (Å): 4.3397 4.3397 13.2385
angles (deg): 90.00 90.00 90.00
Fractional coordinates of all 8 atoms:
Ge 0.7500 0.7500 0.9060
Ge 0.2500 0.2500 0.0940
Rh 0.7500 0.2500 0.0000
Pr 0.2500 0.7500 0.5000
Rh 0.2500 0.7500 0.0000
Ba 0.7500 0.7500 0.2148
Pr 0.7500 0.2500 0.5000
Ba 0.2500 0.2500 0.7852

- space-group type = P4/nmm (129)
- calculated formation energy (eV/atom) = -0.25
- ρ (g/cm3) = 6.0

=====

Crystalline Sm2MnGa3Pt4 at its relaxed geometry. Source: Alexandria via LeMat-Bulk, functional GGA-PBE.

a b c (Å): 4.1182 4.1182 11.1895
angles (deg): 90.00 90.00 90.00
Each line ends with the local moment (μB).
Fractional coordinates of all 10 atoms:
Pt 0.5000 0.0000 0.6435  0.07
Mn 0.5000 0.5000 0.5000  3.66
Ga 0.0000 0.5000 0.1331  0.00
Sm 0.5000 0.0000 0.2487  -0.01
Ga 0.5000 0.0000 0.8669  0.00
Pt 0.0000 0.0000 0.0000  0.00
Pt 0.0000 0.5000 0.3565  0.07
Ga 0.0000 0.0000 0.5000  -0.06
Sm 0.0000 0.5000 0.7513  -0.01
Pt 0.5000 0.5000 0.0000  -0.01

- space-group type = P-4m2 (115)
- calculated formation energy (eV/atom) = -0.87
- ρ (g/cm3) = 11.8

=====

Crystalline Sr2PmH at its relaxed geometry. Source: Alexandria via LeMat-Bulk, functional GGA-PBE.

a b c (Å): 3.7862 3.7862 10.7760
angles (deg): 79.88 79.88 60.00
Fractional coordinates of all 4 atoms:
H 0.5000 0.5000 0.5000
Sr 0.8841 0.8841 0.3478
Sr 0.1159 0.1159 0.6522
Pm 0.0000 0.0000 0.0000

- space-group type = R-3m (166)
- raw total energy (eV per atom) = -2.740
- ρ (g/cm3) = 4.1

=====

Crystalline La12PmPr5 at its relaxed geometry. Source: Alexandria via LeMat-Bulk, functional GGA-PBE.

a b c (Å): 11.1494 11.1668 6.4546
angles (deg): 106.87 90.00 60.05
Fractional coordinates of all 18 atoms:
La 0.6660 0.3328 0.9998
La 0.3340 0.6672 0.0002
La 0.1670 0.0000 0.5001
La 0.8330 0.0000 0.4999
La 0.5014 0.3332 0.5002
Pr 0.3333 0.3332 0.0007
Pr 0.8336 0.3328 0.4991
La 0.8347 0.6667 0.4995
La 0.6687 0.0000 0.9999
La 0.4986 0.6668 0.4998
La 0.0012 0.3328 0.0002
Pr 0.5000 0.0000 0.5000
Pm 0.0000 0.0000 0.0000
La 0.3313 0.0000 0.0001
La 0.9988 0.6672 0.9998
Pr 0.1664 0.6672 0.5009
Pr 0.6667 0.6668 0.9993
La 0.1653 0.3333 0.5005

- space-group type = C2/m (12)
- calculated formation energy (eV/atom) = 0.01
- ρ (g/cm3) = 6.4

=====

Repeat the first record exactly.
Crystalline BaPrGeRh at its relaxed geometry. Source: Alexandria via LeMat-Bulk, functional GGA-PBE.

a b c (Å): 4.3397 4.3397 13.2385
angles (deg): 90.00 90.00 90.00
Fractional coordinates of all 8 atoms:
Ge 0.7500 0.7500 0.9060
Ge 0.2500 0.2500 0.0940
Rh 0.7500 0.2500 0.0000
Pr 0.2500 0.7500 0.5000
Rh 0.2500 0.7500 0.0000
Ba 0.7500 0.7500 0.2148
Pr 0.7500 0.2500 0.5000
Ba 0.2500 0.2500 0.7852

- space-group type = P4/nmm (129)
- calculated formation energy (eV/atom) = -0.25
- ρ (g/cm3) = 6.0

=====

- Which of these has the highest ρ?
  Sm2MnGa3Pt4